[1]
First-principles (GGA-PBE) data for an optimized crystal structure of Ce3TiTl3S8, as listed in Alexandria.

POSCAR file:
```
Ce3TiTl3S8
1.0
4.010 2.315 7.580
-4.010 2.315 7.580
0.000 -4.631 7.580
Ce Ti Tl S
3 1 3 8
direct
0.000 0.500 0.500
0.500 0.000 0.500
0.500 0.500 0.000
0.000 0.000 0.000
0.000 0.000 0.500
0.000 0.500 0.000
0.500 0.000 0.000
0.214 0.214 0.759
0.214 0.759 0.214
0.241 0.786 0.786
0.265 0.265 0.265
0.735 0.735 0.735
0.759 0.214 0.214
0.786 0.241 0.786
0.786 0.786 0.241
```

Output
Crystal system: trigonal
Total magnetic moment: 3.01 μB per formula unit
Theoretical density: 5.3 g/cm³
Formation energy (no corrections): -20.437 eV per formula unit

---

[2]
First-principles (GGA-PBE) data for an optimized crystal structure of CeTlS14, as listed in Alexandria.

POSCAR file:
```
CeTlS14
1.0
-5.262 7.078 6.683
5.262 -7.078 6.683
5.262 7.078 -6.683
Ce Tl S
2 2 28
direct
0.500 0.000 0.000
0.500 0.500 0.500
0.091 0.341 0.750
0.909 0.659 0.250
0.037 0.858 0.179
0.161 0.391 0.193
0.161 0.968 0.770
0.179 0.858 0.321
0.200 0.370 0.372
0.200 0.828 0.829
0.207 0.606 0.601
0.302 0.032 0.693
0.302 0.609 0.270
0.393 0.247 0.146
0.398 0.753 0.646
0.495 0.394 0.101
0.498 0.370 0.671
0.498 0.828 0.128
0.502 0.172 0.872
0.502 0.630 0.329
0.505 0.606 0.899
0.602 0.247 0.354
0.607 0.753 0.854
0.698 0.391 0.730
0.698 0.968 0.307
0.793 0.394 0.399
0.800 0.172 0.171
0.800 0.630 0.628
0.821 0.142 0.679
0.839 0.032 0.230
0.839 0.609 0.807
0.963 0.142 0.821
```

Output
Crystal system: orthorhombic
Total magnetic moment: 0.99 μB per formula unit
Theoretical density: 2.6 g/cm³
Formation energy (no corrections): -1.426 eV per formula unit

---

Copy entry 2 word for word.
First-principles (GGA-PBE) data for an optimized crystal structure of CeTlS14, as listed in Alexandria.

POSCAR file:
```
CeTlS14
1.0
-5.262 7.078 6.683
5.262 -7.078 6.683
5.262 7.078 -6.683
Ce Tl S
2 2 28
direct
0.500 0.000 0.000
0.500 0.500 0.500
0.091 0.341 0.750
0.909 0.659 0.250
0.037 0.858 0.179
0.161 0.391 0.193
0.161 0.968 0.770
0.179 0.858 0.321
0.200 0.370 0.372
0.200 0.828 0.829
0.207 0.606 0.601
0.302 0.032 0.693
0.302 0.609 0.270
0.393 0.247 0.146
0.398 0.753 0.646
0.495 0.394 0.101
0.498 0.370 0.671
0.498 0.828 0.128
0.502 0.172 0.872
0.502 0.630 0.329
0.505 0.606 0.899
0.602 0.247 0.354
0.607 0.753 0.854
0.698 0.391 0.730
0.698 0.968 0.307
0.793 0.394 0.399
0.800 0.172 0.171
0.800 0.630 0.628
0.821 0.142 0.679
0.839 0.032 0.230
0.839 0.609 0.807
0.963 0.142 0.821
```

Output
Crystal system: orthorhombic
Total magnetic moment: 0.99 μB per formula unit
Theoretical density: 2.6 g/cm³
Formation energy (no corrections): -1.426 eV per formula unit